[1]
Material: Er3ZrO6
Method: DFT, PBE
State: optimized geometry

Cell lengths 6.988, 6.988, 5.520 Å; angles 90.00, 90.00, 101.11 degrees
Positions (direct):
Er  0.101  0.899  0.500
Er  0.197  0.406  0.553
Er  0.406  0.197  0.053
Er  0.594  0.803  0.553
Er  0.803  0.594  0.053
Er  0.899  0.101  0.000
Zr  0.334  0.666  0.066
Zr  0.666  0.334  0.566
O  0.082  0.600  0.266
O  0.137  0.176  0.278
O  0.176  0.137  0.778
O  0.279  0.721  0.714
O  0.400  0.918  0.266
O  0.486  0.514  0.336
O  0.514  0.486  0.836
O  0.600  0.082  0.766
O  0.721  0.279  0.214
O  0.824  0.863  0.278
O  0.863  0.824  0.778
O  0.918  0.400  0.766

Computed properties:
Space-group type ... Cmc2_1
E_tot ... -0.628 Ry/atom
Spin magnetization ... 0.01 Bohr magnetons per cell

[2]
Material: ErOs
Method: DFT, PBE
State: optimized geometry

Cell lengths 4.393, 4.393, 4.393 Å; angles 60.00, 60.00, 60.00 degrees
Positions (direct):
Er  0.000  0.000  0.000
Os  0.750  0.750  0.750

Computed properties:
Energy relative to the elements ... 1.654 eV per atom
Space-group type ... F-43m
E_tot ... -0.459 Ry/atom
Spin magnetization ... 1.00 Bohr magnetons per cell

[3]
Material: ErOs
Method: DFT, PBE
State: optimized geometry

Cell lengths 3.239, 3.239, 4.362 Å; angles 90.00, 90.00, 120.00 degrees
Positions (direct):
Er  0.000  0.000  0.000
Os  0.667  0.333  0.500

Computed properties:
Energy relative to the elements ... 0.306 eV per atom
Space-group type ... P-6m2
E_tot ... -0.558 Ry/atom
Spin magnetization ... 0.00 Bohr magnetons per cell

[4]
Material: Er2Os
Method: DFT, PBE
State: optimized geometry

Cell lengths 8.246, 8.246, 8.246 Å; angles 60.00, 60.00, 60.00 degrees
Positions (direct):
Er  0.000  0.000  0.000
Er  0.000  0.000  0.500
Er  0.000  0.500  0.000
Er  0.500  0.000  0.000
Os  0.125  0.125  0.125
Os  0.875  0.875  0.875

Computed properties:
Energy relative to the elements ... 1.171 eV per atom
Space-group type ... Fd-3m
E_tot ... -0.413 Ry/atom
Spin magnetization ... 0.00 Bohr magnetons per cell

[5]
Material: Er2Os
Method: DFT, PBE
State: optimized geometry

Cell lengths 5.714, 5.714, 5.714 Å; angles 60.00, 60.00, 60.00 degrees
Positions (direct):
Er  0.000  0.000  0.000
Er  0.000  0.000  0.500
Er  0.000  0.500  0.000
Er  0.500  0.000  0.000
Os  0.375  0.375  0.375
Os  0.625  0.625  0.625

Computed properties:
Energy relative to the elements ... 1.069 eV per atom
Space-group type ... Fd-3m
E_tot ... -0.420 Ry/atom
Spin magnetization ... 0.01 Bohr magnetons per cell

[6]
Material: ErOs
Method: DFT, PBE
State: optimized geometry

Cell lengths 3.996, 3.996, 3.996 Å; angles 60.00, 60.00, 60.00 degrees
Positions (direct):
Er  0.000  0.000  0.000
Os  0.500  0.500  0.500

Computed properties:
Energy relative to the elements ... 0.715 eV per atom
Space-group type ... Fm-3m
E_tot ... -0.528 Ry/atom
Spin magnetization ... 1.00 Bohr magnetons per cell

[7]
Material: ErOs5
Method: DFT, PBE
State: optimized geometry

Cell lengths 5.187, 5.187, 5.187 Å; angles 60.00, 60.00, 60.00 degrees
Positions (direct):
Er  0.000  0.000  0.000
Os  0.126  0.625  0.625
Os  0.250  0.250  0.250
Os  0.625  0.126  0.625
Os  0.625  0.625  0.126
Os  0.625  0.625  0.625

Computed properties:
Energy relative to the elements ... 0.352 eV per atom
Space-group type ... F-43m
E_tot ... -0.718 Ry/atom
Spin magnetization ... 0.02 Bohr magnetons per cell

[8]
Material: Er2Os
Method: DFT, PBE
State: optimized geometry

Cell lengths 4.729, 4.729, 4.729 Å; angles 60.00, 60.00, 60.00 degrees
Positions (direct):
Er  0.250  0.250  0.250
Er  0.750  0.750  0.750
Os  0.000  0.000  0.000

Computed properties:
Energy relative to the elements ... -0.253 eV per atom
Space-group type ... Fm-3m
E_tot ... -0.517 Ry/atom
Spin magnetization ... 0.00 Bohr magnetons per cell

Question: Which formula does entry 6 have?
Answer: ErOs

Question: Number 8 is which compound?
Answer: Er2Os

Question: Look up the E_tot of the sixth one.
Answer: -0.528 Ry/atom